LiDy2Ag: relaxed, PBE-GGA.

The structure in POSCAR format:
```
LiDy2Ag
1.0
5.1273 0.0000 0.0000
0.0000 5.1273 0.0000
0.0000 0.0000 3.6882
Li Dy Ag
1 2 1
Direct
0.0000 0.0000 0.0000
0.0000 0.5000 0.5000
0.5000 0.0000 0.5000
0.5000 0.5000 0.0000
```

SG   No. 123
Total moment   0.00 μB/cell
Raw total energy   -3.5990 eV per atom
Distance to the lowest polymorph of the same formula   0.0 meV/atom
E_form   -0.107 eV/atom

---

Zr2TcSe: relaxed, PBE-GGA.

The structure in POSCAR format:
```
Zr2TcSe
1.0
4.3631 0.0000 0.0000
0.0000 1.7176 5.0746
0.0000 -1.7176 5.0746
Zr Tc Se
2 1 1
Direct
0.0000 0.0000 0.0000
0.5000 0.2868 0.2868
0.0000 0.7414 0.7414
0.5000 0.5635 0.5635
```

Uncorrected formation energy   -613 meV per atom
SG   No. 38
Total moment   0.00 μB/cell
Raw total energy   -8.3497 eV per atom

---

CsRbH6Au2: relaxed, PBE-GGA.

The structure in POSCAR format:
```
CsRbH6Au2
1.0
5.2852 -5.4662 0.0000
5.2852 5.4662 0.0000
-0.2992 0.0000 6.4152
Cs Rb H Au
2 2 12 4
Direct
0.1036 0.8964 0.7500
0.8964 0.1036 0.2500
0.4081 0.5919 0.2500
0.5919 0.4081 0.7500
0.0766 0.7331 0.1800
0.1901 0.3081 0.6482
0.2522 0.5612 0.8629
0.2669 0.9234 0.3200
0.3081 0.1901 0.1482
0.4388 0.7478 0.6371
0.5612 0.2522 0.3629
0.6919 0.8099 0.8518
0.7331 0.0766 0.6800
0.7478 0.4388 0.1371
0.8099 0.6919 0.3518
0.9234 0.2669 0.8200
0.0883 0.4125 0.8431
0.4125 0.0883 0.3431
0.5875 0.9117 0.6569
0.9117 0.5875 0.1569
```

SG   No. 15
Total moment   0.00 μB/cell
Raw total energy   -2.9647 eV per atom

---

Q: What is the raw total energy in the first record?
A: -3.5990 eV per atom

---

Q: total moment of number 2 (Zr2TcSe)?
A: 0.00 μB/cell